(1)
## Ta2Sb2F (meta-GGA SCAN)

Data for Ta2Sb2F at its PBEsol-relaxed geometry.

The structure in POSCAR format:
```
Ta2Sb2F
1.0
3.7912 0.0000 0.0000
0.0000 3.7912 0.0000
-1.8956 -1.8956 7.1504
Ta Sb F
2 2 1
Cartesian
0.0000 1.8956 3.5752
1.8956 0.0000 3.5752
1.8956 1.8956 1.4159
0.0000 0.0000 5.7345
0.0000 0.0000 0.0000
```

Calculated values
- E_form (uncorrected): -4 kJ per mole of atoms
- M_tot: 0.00 μB per cell
- Calculated density: 10.09 g/cm3
- DOS at the Fermi energy: 3.744 states/eV/f.u.
- Total energy: -42.2905 eV/atom


(2)
## BaW2Au (meta-GGA SCAN)

Data for BaW2Au at its PBEsol-relaxed geometry.

The structure in POSCAR format:
```
BaW2Au
1.0
-0.0805 -0.5572 -2.9465
-2.9691 -4.0655 1.1022
-4.4050 3.0912 -0.4642
W Au Ba
2 1 1
Cartesian
-0.7794 -1.1221 -0.0759
-2.2702 -3.5006 -1.7685
-3.6870 -0.4872 0.3190
-2.2427 1.2670 -1.7054
```

Calculated values
- M_tot: 0.00 μB per cell
- Calculated density: 13.98 g/cm3
- DOS at the Fermi energy: 3.282 states/eV/f.u.
- Total energy: -60.7661 eV/atom